1.
First-principles (SCAN) data for K2Na3P3O10 at its PBEsol-relaxed geometry, as listed in Alexandria via LeMat-Bulk.

Unit cell a=5.6547 b=5.6547 c=18.6854 alpha=95.38 beta=95.38 gamma=59.27
Closest atoms and distances in Å follow each position.
Element x y z (fractional)
1 K 0.1287 0.6808 0.9229  7 O 2.77-3.02
2 K 0.3192 0.8713 0.5771  7 O 2.77-3.02
3 K 0.6808 0.1287 0.4229  7 O 2.77-3.02
4 K 0.8713 0.3192 0.0771  7 O 2.77-3.02
5 Na 0.0000 0.5000 0.5000  6 O 2.34-2.37
6 Na 0.0304 0.4069 0.3291  5 O 2.37-2.52
7 Na 0.4069 0.0304 0.8291  5 O 2.37-2.52
8 Na 0.5000 0.0000 0.0000  6 O 2.34-2.37
9 Na 0.5931 0.9696 0.1709  5 O 2.37-2.52
10 Na 0.9696 0.5931 0.6709  5 O 2.37-2.52
11 P 0.2079 0.6584 0.1012  4 O 1.52-1.66
12 P 0.3416 0.7921 0.3988  4 O 1.52-1.66
13 P 0.4056 0.5944 0.2500  4 O 1.51-1.61
14 P 0.5944 0.4056 0.7500  4 O 1.51-1.61
15 P 0.6584 0.2079 0.6012  4 O 1.52-1.66
16 P 0.7921 0.3416 0.8988  4 O 1.52-1.66
17 O 0.0894 0.2131 0.9288  1 P 1.52
18 O 0.1644 0.7435 0.1886  2 P 1.61-1.66
19 O 0.2049 0.6420 0.4225  1 P 1.52
20 O 0.2131 0.0894 0.4288  1 P 1.52
21 O 0.2565 0.8356 0.3114  2 P 1.61-1.66
22 O 0.3323 0.4233 0.7694  1 P 1.51
23 O 0.3447 0.3712 0.5947  1 P 1.52
24 O 0.3580 0.7951 0.0775  1 P 1.52
25 O 0.3712 0.3447 0.0947  1 P 1.52
26 O 0.4233 0.3323 0.2694  1 P 1.51
27 O 0.5767 0.6677 0.7306  1 P 1.51
28 O 0.6288 0.6553 0.9053  1 P 1.52
29 O 0.6420 0.2049 0.9225  1 P 1.52
30 O 0.6553 0.6288 0.4053  1 P 1.52
31 O 0.6677 0.5767 0.2306  1 P 1.51
32 O 0.7435 0.1644 0.6886  2 P 1.61-1.66
33 O 0.7869 0.9106 0.5712  1 P 1.52
34 O 0.7951 0.3580 0.5775  1 P 1.52
35 O 0.8356 0.2565 0.8114  2 P 1.61-1.66
36 O 0.9106 0.7869 0.0712  1 P 1.52

Results
M_tot, μB per cell: 0.00
V, A^3/atom: 14.18
Total energy, eV/cell: -335.75

***

2.
First-principles (SCAN) data for KNaP6Pb8O24 at its PBEsol-relaxed geometry, as listed in Alexandria via LeMat-Bulk.

Unit cell a=9.7502 b=9.7502 c=7.2384 alpha=90.00 beta=90.00 gamma=120.00
Closest atoms and distances in Å follow each position.
Element x y z (fractional)
1 K 0.0000 0.0000 0.0000  9 O 2.65-2.89
2 Na 0.6667 0.3333 0.5210  6 O 2.45-2.51
3 P 0.3187 0.2746 0.7611  4 O 1.55-1.56
4 P 0.3580 0.0632 0.2748  4 O 1.54-1.56
5 P 0.7052 0.6420 0.2748  4 O 1.54-1.56
6 P 0.7254 0.0442 0.7611  4 O 1.55-1.56
7 P 0.9368 0.2948 0.2748  4 O 1.54-1.56
8 P 0.9558 0.6813 0.7611  4 O 1.55-1.56
9 Pb 0.0000 0.0000 0.5027  3 O 2.45
10 Pb 0.0743 0.6692 0.2693  4 O 2.29-2.54
11 Pb 0.0782 0.4167 0.7649  2 O 2.25-2.49
12 Pb 0.3308 0.4051 0.2693  4 O 2.29-2.54
13 Pb 0.3386 0.9218 0.7649  2 O 2.25-2.49
14 Pb 0.5833 0.6614 0.7649  2 O 2.25-2.49
15 Pb 0.5949 0.9257 0.2693  4 O 2.29-2.54
16 Pb 0.6667 0.3333 0.0076  6 O 2.51-2.79
17 O 0.0081 0.4175 0.4345  1 P 1.56
18 O 0.0113 0.1877 0.2707  1 P 1.54
19 O 0.0613 0.7433 0.9355  1 P 1.55
20 O 0.0715 0.7475 0.5931  1 P 1.56
21 O 0.1764 0.9887 0.2707  1 P 1.54
22 O 0.2454 0.0910 0.7500  1 P 1.56
23 O 0.2525 0.3240 0.5931  1 P 1.56
24 O 0.2567 0.3180 0.9355  1 P 1.55
25 O 0.4094 0.9919 0.4345  1 P 1.56
26 O 0.4225 0.0294 0.0935  1 P 1.56
27 O 0.4407 0.2468 0.2983  1 P 1.56
28 O 0.5017 0.3583 0.7582  1 P 1.55
29 O 0.5825 0.5906 0.4345  1 P 1.56
30 O 0.6069 0.5775 0.0935  1 P 1.56
31 O 0.6417 0.1434 0.7582  1 P 1.55
32 O 0.6760 0.9285 0.5931  1 P 1.56
33 O 0.6820 0.9387 0.9355  1 P 1.55
34 O 0.7532 0.1938 0.2983  1 P 1.56
35 O 0.8062 0.5593 0.2983  1 P 1.56
36 O 0.8123 0.8236 0.2707  1 P 1.54
37 O 0.8456 0.7546 0.7500  1 P 1.56
38 O 0.8566 0.4983 0.7582  1 P 1.55
39 O 0.9090 0.1544 0.7500  1 P 1.56
40 O 0.9706 0.3931 0.0935  1 P 1.56

Results
M_tot, μB per cell: 0.00
V, A^3/atom: 14.90
Total energy, eV/cell: -916.11

***

3.
First-principles (SCAN) data for KNaTi4P6O24 at its PBEsol-relaxed geometry, as listed in Alexandria via LeMat-Bulk.

Unit cell a=8.9656 b=8.9656 c=8.9656 alpha=56.44 beta=56.44 gamma=56.44
Closest atoms and distances in Å follow each position.
Element x y z (fractional)
1 K 0.0000 0.0000 0.0000  6 O 2.67
2 Na 0.5000 0.5000 0.5000  6 O 2.55
3 Ti 0.1477 0.1477 0.1477  6 O 1.91-1.96
4 Ti 0.3540 0.3540 0.3540  6 O 1.92-1.96
5 Ti 0.6460 0.6460 0.6460  6 O 1.92-1.96
6 Ti 0.8523 0.8523 0.8523  6 O 1.91-1.96
7 P 0.0362 0.4679 0.7479  4 O 1.54
8 P 0.2521 0.9638 0.5321  4 O 1.54
9 P 0.4679 0.7479 0.0362  4 O 1.54
10 P 0.5321 0.2521 0.9638  4 O 1.54
11 P 0.7479 0.0362 0.4679  4 O 1.54
12 P 0.9638 0.5321 0.2521  4 O 1.54
13 O 0.0106 0.6505 0.7509  1 P 1.54
14 O 0.0492 0.3004 0.9379  1 P 1.54
15 O 0.0621 0.9508 0.6996  1 P 1.54
16 O 0.1321 0.5048 0.2820  1 P 1.54
17 O 0.2240 0.4204 0.5822  1 P 1.54
18 O 0.2491 0.9894 0.3495  1 P 1.54
19 O 0.2820 0.1321 0.5048  1 P 1.54
20 O 0.3004 0.9379 0.0492  1 P 1.54
21 O 0.3495 0.2491 0.9894  1 P 1.54
22 O 0.4178 0.7760 0.5796  1 P 1.54
23 O 0.4204 0.5822 0.2240  1 P 1.54
24 O 0.4952 0.7180 0.8679  1 P 1.54
25 O 0.5048 0.2820 0.1321  1 P 1.54
26 O 0.5796 0.4178 0.7760  1 P 1.54
27 O 0.5822 0.2240 0.4204  1 P 1.54
28 O 0.6505 0.7509 0.0106  1 P 1.54
29 O 0.6996 0.0621 0.9508  1 P 1.54
30 O 0.7180 0.8679 0.4952  1 P 1.54
31 O 0.7509 0.0106 0.6505  1 P 1.54
32 O 0.7760 0.5796 0.4178  1 P 1.54
33 O 0.8679 0.4952 0.7180  1 P 1.54
34 O 0.9379 0.0492 0.3004  1 P 1.54
35 O 0.9508 0.6996 0.0621  1 P 1.54
36 O 0.9894 0.3495 0.2491  1 P 1.54

Results
M_tot, μB per cell: 0.00
V, A^3/atom: 12.99
Total energy, eV/cell: -390.46

***

4.
First-principles (SCAN) data for KNaZnP2O7 at its PBEsol-relaxed geometry, as listed in Alexandria via LeMat-Bulk.

Unit cell a=7.4807 b=7.2671 c=14.6255 alpha=90.00 beta=120.73 gamma=90.00
Closest atoms and distances in Å follow each position.
Element x y z (fractional)
1 K 0.2037 0.2033 0.1038  7 O 2.81-3.15
2 K 0.2037 0.2967 0.6038  7 O 2.81-3.15
3 K 0.7963 0.7033 0.3962  7 O 2.81-3.15
4 K 0.7963 0.7967 0.8962  7 O 2.81-3.15
5 Na 0.2589 0.0253 0.8874  5 O 2.29-2.50
6 Na 0.2589 0.4747 0.3874  5 O 2.29-2.50
7 Na 0.7411 0.5253 0.6126  5 O 2.29-2.50
8 Na 0.7411 0.9747 0.1126  5 O 2.29-2.50
9 Zn 0.2085 0.5206 0.8792  4 O 1.93-1.95
10 Zn 0.2085 0.9794 0.3792  4 O 1.93-1.95
11 Zn 0.7915 0.0206 0.6208  4 O 1.93-1.95
12 Zn 0.7915 0.4794 0.1208  4 O 1.93-1.95
13 P 0.1759 0.7170 0.2015  4 O 1.51-1.63
14 P 0.1759 0.7830 0.7015  4 O 1.51-1.63
15 P 0.4287 0.7122 0.1009  4 O 1.51-1.63
16 P 0.4287 0.7878 0.6009  4 O 1.51-1.63
17 P 0.5713 0.2122 0.3991  4 O 1.51-1.63
18 P 0.5713 0.2878 0.8991  4 O 1.51-1.63
19 P 0.8241 0.2170 0.2985  4 O 1.51-1.63
20 P 0.8241 0.2830 0.7985  4 O 1.51-1.63
21 O 0.0365 0.6408 0.6216  1 P 1.51
22 O 0.0365 0.8592 0.1216  1 P 1.51
23 O 0.0890 0.5190 0.1798  1 P 1.54
24 O 0.0890 0.9810 0.6798  1 P 1.54
25 O 0.2535 0.7389 0.8189  1 P 1.54
26 O 0.2535 0.7611 0.3189  1 P 1.54
27 O 0.3027 0.5507 0.0289  1 P 1.54
28 O 0.3027 0.9493 0.5289  1 P 1.54
29 O 0.3343 0.1808 0.3449  1 P 1.55
30 O 0.3343 0.3192 0.8449  1 P 1.55
31 O 0.3701 0.5986 0.5516  1 P 1.51
32 O 0.3701 0.9014 0.0516  1 P 1.51
33 O 0.3938 0.7032 0.2019  2 P 1.63
34 O 0.3938 0.7968 0.7019  2 P 1.63
35 O 0.6062 0.2032 0.2981  2 P 1.63
36 O 0.6062 0.2968 0.7981  2 P 1.63
37 O 0.6299 0.0986 0.9484  1 P 1.51
38 O 0.6299 0.4014 0.4484  1 P 1.51
39 O 0.6657 0.6808 0.1551  1 P 1.55
40 O 0.6657 0.8192 0.6551  1 P 1.55
41 O 0.6973 0.0507 0.4711  1 P 1.54
42 O 0.6973 0.4493 0.9711  1 P 1.54
43 O 0.7465 0.2389 0.6811  1 P 1.54
44 O 0.7465 0.2611 0.1811  1 P 1.54
45 O 0.9110 0.0190 0.3202  1 P 1.54
46 O 0.9110 0.4810 0.8202  1 P 1.54
47 O 0.9635 0.1407 0.8784  1 P 1.51
48 O 0.9635 0.3592 0.3784  1 P 1.51

Results
M_tot, μB per cell: 0.00
V, A^3/atom: 14.24
Total energy, eV/cell: -477.60

***

Calculated density: 2.60 6.38 2.92 2.93 (g/cm³)
ΔE_f (raw): -2504 -2134 -2829 -2411 (meV/atom)